A geometry-optimized BaCaHfZrO6 structure. Source: Alexandria, functional PBE.

Output
* DOS at the Fermi energy: 0.00 states/eV per atom
* formation energy without anion corrections: -3.217 eV/atom

a b c (Å): 8.3657 8.3657 8.3657
angles (deg): 90.00 90.00 90.00
Last column: nearest neighbours and their distance in Å.
Space group F-43m (No. 216)
Inequivalent atoms, fractional coordinates:
Ba1 0.0000 0.0000 0.0000 [4 per cell]  12 O 2.96
Ca1 0.0000 0.0000 0.5000 [4 per cell]  12 O 2.96
Hf1 0.2500 0.2500 0.2500 [4 per cell]  6 O 2.08
Zr1 0.2500 0.2500 0.7500 [4 per cell]  6 O 2.11
O1 0.0018 0.2500 0.2500 [24 per cell]  1 Hf 2.08, 1 Zr 2.11